VASP calculation (PBE) on a relaxed Na2Tl4Hg crystal.

## Properties
SG ... Pbca
Energy above the most stable polymorph in this dataset ... 0.025 eV/atom
Energy relative to the elements ... -6.7 kJ per mole of atoms
E_tot ... -1.842 eV/atom

abc: 5.464 11.829 13.447
angles: 90.00 90.00 90.00
Sites, in units of the cell vectors:
Na (0.000, 0.058, 0.136)
Na (0.000, 0.442, 0.636)
Na (0.000, 0.558, 0.364)
Na (0.000, 0.942, 0.864)
Na (0.500, 0.058, 0.364)
Na (0.500, 0.442, 0.864)
Na (0.500, 0.558, 0.136)
Na (0.500, 0.942, 0.636)
Tl (0.001, 0.152, 0.682)
Tl (0.001, 0.245, 0.418)
Tl (0.001, 0.255, 0.918)
Tl (0.001, 0.348, 0.182)
Tl (0.499, 0.652, 0.682)
Tl (0.499, 0.745, 0.418)
Tl (0.499, 0.755, 0.918)
Tl (0.499, 0.848, 0.182)
Tl (0.501, 0.152, 0.818)
Tl (0.501, 0.245, 0.082)
Tl (0.501, 0.255, 0.582)
Tl (0.501, 0.348, 0.318)
Tl (0.999, 0.652, 0.818)
Tl (0.999, 0.745, 0.082)
Tl (0.999, 0.755, 0.582)
Tl (0.999, 0.848, 0.318)
Hg (0.000, 0.000, 0.500)
Hg (0.000, 0.500, 0.000)
Hg (0.500, 0.000, 0.000)
Hg (0.500, 0.500, 0.500)